A relaxed CsPmV2O8 crystal. Source: the Alexandria database, functional GGA+U.

a b c (Å): 6.0481 6.0481 8.5654
angles (deg): 90.00 90.00 120.00
Last column: nearest neighbours and their distance in Å.
Space group P-3 (No. 147)
Inequivalent atoms, fractional coordinates:
Cs (0.0000, 0.0000, 0.0000) x1  12 O 3.39-3.54
Pm (0.0000, 0.0000, 0.5000) x1  6 O 2.33
V (0.3333, 0.6667, 0.7329) x2  4 O 1.72-1.75
O (0.1735, 0.3509, 0.6678) x6  1 V 1.75
O (0.3333, 0.6667, 0.9332) x2  1 V 1.72

Properties
**Spin magnetization**: 2.0 μB/f.u.
**N(E_F)**: 12.26 states/eV per cell
**Raw total energy**: -6.970 eV/atom